Material: Dy5ErTm6
Method: DFT, PBE
State: optimized geometry

Values from the calculation:
ΔH_f (0 K) = 0.02 eV per atom
M_tot = 0.0 μB/f.u.

CIF file:
```
data_Dy5ErTm6
_chemical_formula_sum 'Dy5 Er1 Tm6'
_space_group_name_H-M_alt 'P 1'
_space_group_IT_number 1
_cell_length_a 9.2755
_cell_length_b 9.2755
_cell_length_c 9.2755
_cell_angle_alpha 149.03
_cell_angle_beta 115.52
_cell_angle_gamma 73.25
loop_
_space_group_symop_operation_xyz
'x,y,z'
loop_
_atom_site_label
_atom_site_fract_x
_atom_site_fract_y
_atom_site_fract_z
Dy1 0.0000 0.0000 0.0000
Dy2 0.1667 0.6667 0.5000
Dy3 0.3337 0.3337 0.0000
Dy4 0.6663 0.6663 0.0000
Dy5 0.8333 0.3333 0.5000
Er1 0.5000 0.0000 0.5000
Tm1 0.0835 0.8333 0.2501
Tm2 0.2503 0.5000 0.7503
Tm3 0.4168 0.1667 0.2501
Tm4 0.5832 0.8333 0.7499
Tm5 0.7497 0.5000 0.2497
Tm6 0.9165 0.1667 0.7499
```

Material: NaGe2Pd
Method: DFT, PBE
State: optimized geometry

Values from the calculation:
ΔH_f (0 K) = -0.03 eV per atom
M_tot = 0.0 μB/f.u.

CIF file:
```
data_NaGe2Pd
_chemical_formula_sum 'Na2 Ge4 Pd2'
_space_group_name_H-M_alt 'P 1'
_space_group_IT_number 1
_cell_length_a 9.3139
_cell_length_b 9.3139
_cell_length_c 9.3139
_cell_angle_alpha 151.62
_cell_angle_beta 151.62
_cell_angle_gamma 40.57
loop_
_space_group_symop_operation_xyz
'x,y,z'
loop_
_atom_site_label
_atom_site_fract_x
_atom_site_fract_y
_atom_site_fract_z
Na1 0.0000 0.0000 0.0000
Na2 0.7500 0.2500 0.5000
Ge1 0.2525 0.6250 0.1275
Ge2 0.3750 0.5025 0.6275
Ge3 0.4975 0.1250 0.8725
Ge4 0.8750 0.7475 0.3725
Pd1 0.2500 0.7500 0.5000
Pd2 0.5000 0.5000 0.0000
```

Material: ScInTc
Method: DFT, PBE
State: optimized geometry

Values from the calculation:
ΔH_f (0 K) = -0.03 eV per atom
M_tot = 0.0 μB/f.u.
Offset from the most stable computed form = 143 meV/atom

CIF file:
```
data_ScInTc
_chemical_formula_sum 'Sc1 In1 Tc1'
_space_group_name_H-M_alt 'P 1'
_space_group_IT_number 1
_cell_length_a 4.6812
_cell_length_b 4.6812
_cell_length_c 2.9470
_cell_angle_alpha 90.00
_cell_angle_beta 90.00
_cell_angle_gamma 120.00
loop_
_space_group_symop_operation_xyz
'x,y,z'
loop_
_atom_site_label
_atom_site_fract_x
_atom_site_fract_y
_atom_site_fract_z
Sc1 0.0000 0.0000 0.0000
In1 0.3333 0.6667 0.5791
Tc1 0.6667 0.3333 0.2541
```

Material: LiAl2W
Method: DFT, PBE
State: optimized geometry

Values from the calculation:
ΔH_f (0 K) = 0.67 eV per atom
M_tot = 0.0 μB/f.u.
Offset from the most stable computed form = 751 meV/atom

CIF file:
```
data_LiAl2W
_chemical_formula_sum 'Li2 Al4 W2'
_space_group_name_H-M_alt 'P 1'
_space_group_IT_number 1
_cell_length_a 9.3613
_cell_length_b 9.3613
_cell_length_c 9.3613
_cell_angle_alpha 156.20
_cell_angle_beta 156.20
_cell_angle_gamma 33.92
loop_
_space_group_symop_operation_xyz
'x,y,z'
loop_
_atom_site_label
_atom_site_fract_x
_atom_site_fract_y
_atom_site_fract_z
Li1 0.0000 0.0000 0.0000
Li2 0.7500 0.2500 0.5000
Al1 0.1371 0.6250 0.0121
Al2 0.3750 0.3871 0.5121
Al3 0.6129 0.1250 0.9879
Al4 0.8750 0.8629 0.4879
W1 0.2500 0.7500 0.5000
W2 0.5000 0.5000 0.0000
```